A relaxed PrNdErTm crystal. Source: Alexandria, functional GGA-PBE.

Properties
**Excess energy over the best structure of this formula in the dataset**: 0.0000 eV per atom
**DFT formation energy**: 0.024 eV per atom
**E**: -4.6210 eV per atom
**Crystal system**: trigonal

Unit cell a=3.6162 b=3.6162 c=34.9269 alpha=90.00 beta=90.00 gamma=120.00
Space group R3m (No. 160, hexagonal axes)
Asymmetric unit:
Pr1 0.0000 0.0000 0.0000 x3
Nd1 0.0000 0.0000 0.8336 x3
Er1 0.0000 0.0000 0.5834 x3
Tm1 0.0000 0.0000 0.4164 x3

A relaxed MgZrCd2 crystal. Source: Alexandria, functional GGA-PBE.

Properties
**DFT formation energy**: -0.049 eV per atom
**E**: -3.0423 eV per atom
**Crystal system**: monoclinic

Unit cell a=5.438 b=3.134 c=10.465 alpha=90.00 beta=100.14 gamma=90.00
Space group Cm (No. 8)
Asymmetric unit:
Mg1 0.000 0.000 0.000 x2
Zr1 0.167 0.000 0.499 x2
Cd1 0.085 0.500 0.754 x2
Cd2 0.415 0.000 0.245 x2

A relaxed Er2PuMg crystal. Source: Alexandria, functional GGA-PBE.

Properties
**Excess energy over the best structure of this formula in the dataset**: 0.0538 eV per atom
**DFT formation energy**: 0.102 eV per atom
**E**: -6.1606 eV per atom
**Crystal system**: tetragonal

Unit cell a=5.516 b=5.516 c=3.598 alpha=90.00 beta=90.00 gamma=90.00
Space group P4/mmm (No. 123)
Asymmetric unit:
Er1 0.000 0.500 0.000 x2
Pu1 0.000 0.000 0.500 x1
Mg1 0.500 0.500 0.500 x1

A relaxed Ce2LuHf crystal. Source: Alexandria, functional GGA-PBE.

Properties
**Excess energy over the best structure of this formula in the dataset**: 0.0212 eV per atom
**DFT formation energy**: 0.153 eV per atom
**E**: -6.4323 eV per atom
**Crystal system**: tetragonal

Unit cell a=4.703 b=4.703 c=4.848 alpha=90.00 beta=90.00 gamma=90.00
Space group P4/mmm (No. 123)
Asymmetric unit:
Ce1 0.000 0.500 0.000 x2
Lu1 0.000 0.000 0.500 x1
Hf1 0.500 0.500 0.500 x1

What is the formula in the fourth record?
Ce2LuHf

Copy entry 4 word for word.
A relaxed Ce2LuHf crystal. Source: Alexandria, functional GGA-PBE.

Properties
**Excess energy over the best structure of this formula in the dataset**: 0.0212 eV per atom
**DFT formation energy**: 0.153 eV per atom
**E**: -6.4323 eV per atom
**Crystal system**: tetragonal

Unit cell a=4.703 b=4.703 c=4.848 alpha=90.00 beta=90.00 gamma=90.00
Space group P4/mmm (No. 123)
Asymmetric unit:
Ce1 0.000 0.500 0.000 x2
Lu1 0.000 0.000 0.500 x1
Hf1 0.500 0.500 0.500 x1

Look up the DFT formation energy of the third one.
0.102 eV per atom

Which formula does entry 2 have?
MgZrCd2